[1]
A relaxed structure of Zr2AlNi. Source: Alexandria via LeMat-Bulk, functional PBE.

Cell: 4.9838 4.9838 4.9838 Å, 129.55 129.55 74.13°
Fractional coordinates of all 4 atoms:
Ni: 0.7500 0.2500 0.5000
Zr: 0.0000 0.0000 0.0000
Zr: 0.5000 0.5000 0.0000
Al: 0.2500 0.7500 0.5000

Output
energy relative to the elements: -309 meV/atom

[2]
A relaxed structure of ZrAl2Ni. Source: Alexandria via LeMat-Bulk, functional PBE.

Cell: 3.9770 4.9531 6.5236 Å, 90.00 90.00 90.00°
Fractional coordinates of all 8 atoms:
Al: 0.5000 0.7500 0.3707
Al: 0.5000 0.2500 0.6293
Al: 0.5000 0.5000 0.0000
Al: 0.5000 0.0000 0.0000
Zr: 0.0000 0.7500 0.6970
Zr: 0.0000 0.2500 0.3030
Ni: 0.0000 0.2500 0.8695
Ni: 0.0000 0.7500 0.1305

Output
energy relative to the elements: -557 meV/atom

Number 1: final energy -27.9 eV for the cell shown. Number 2: final energy -48.1 eV for the cell shown.